Compound: RbNaHf
Source: the Open Quantum Materials Database
Functional: GGA-PBE
Structure: optimized geometry

a b c (Å): 8.1392 8.1392 8.1392
angles (deg): 90.00 90.00 90.00
Last column: nearest neighbours and their distance in Å.
Space group F-43m (No. 216)
One atom of each set of equivalent atoms:
Rb 0.0000 0.0000 0.0000 x4  4 Na 3.52
Na 0.2500 0.2500 0.7500 x4  4 Hf 3.52, 4 Rb 3.52
Hf 0.0000 0.0000 0.5000 x4  4 Na 3.52

- Final energy: -7.41 eV per formula unit